(1)
{
  "formula": "La2Tb6Dy3",
  "functional": "PBE-GGA",
  "state": "relaxed",
  "lattice_angstrom": [[-2.3816, 2.3816, 16.8592], [2.3816, -2.3816, 16.8592], [2.3816, 2.3816, -16.8592]],
  "species": ["La", "La", "Tb", "Tb", "Tb", "Tb", "Tb", "Tb", "Dy", "Dy", "Dy"],
  "frac_coords": [[0.0460, 0.0460, 0.0000], [0.9540, 0.9540, 0.0000], [0.1236, 0.6236, 0.5000], [0.1969, 0.1969, 0.0000], [0.3764, 0.8764, 0.5000], [0.6236, 0.1236, 0.5000], [0.8031, 0.8031, 0.0000], [0.8764, 0.3764, 0.5000], [0.2986, 0.2986, 0.0000], [0.5000, 0.5000, 0.0000], [0.7014, 0.7014, 0.0000]],
  "polymorph_energy_mev_per_atom": 90
}

---

(2)
{
  "formula": "La4Tb5Dy",
  "functional": "PBE-GGA",
  "state": "relaxed",
  "lattice_angstrom": [[8.6350, -1.7810, 0.0000], [8.6350, 1.7810, 0.0000], [-0.0070, 0.0000, 11.4747]],
  "species": ["La", "La", "La", "La", "Tb", "Tb", "Tb", "Tb", "Tb", "Dy"],
  "frac_coords": [[0.0325, 0.0325, 0.2498], [0.3385, 0.3385, 0.2501], [0.6615, 0.6615, 0.7499], [0.9675, 0.9675, 0.7502], [0.1727, 0.1727, 0.0492], [0.1730, 0.1730, 0.4500], [0.5000, 0.5000, 0.5000], [0.8270, 0.8270, 0.5500], [0.8273, 0.8273, 0.9508], [0.5000, 0.5000, 0.0000]],
  "polymorph_energy_mev_per_atom": 0
}

---

(3)
{
  "formula": "LaTb7Dy2",
  "functional": "PBE-GGA",
  "state": "relaxed",
  "lattice_angstrom": [[6.1930, 0.0000, 0.0000], [-1.0336, 6.1090, 0.0000], [-3.0960, -2.6093, 8.5582]],
  "species": ["La", "Tb", "Tb", "Tb", "Tb", "Tb", "Tb", "Tb", "Dy", "Dy"],
  "frac_coords": [[0.0000, 0.0000, 0.0000], [0.0000, 0.5000, 0.5000], [0.2009, 0.0016, 0.4016], [0.2014, 0.5003, 0.8989], [0.3982, 0.9990, 0.7972], [0.6018, 0.0010, 0.2028], [0.7986, 0.4997, 0.1011], [0.7991, 0.9984, 0.5984], [0.4010, 0.5026, 0.3017], [0.5990, 0.4974, 0.6983]],
  "polymorph_energy_mev_per_atom": 0
}

---

(4)
{
  "formula": "La4Tb11Dy9",
  "functional": "PBE-GGA",
  "state": "relaxed",
  "lattice_angstrom": [[8.4223, -12.6170, 0.0000], [8.4223, 12.6170, 0.0000], [0.0000, 0.0000, 3.7151]],
  "species": ["La", "La", "La", "La", "Tb", "Tb", "Tb", "Tb", "Tb", "Tb", "Tb", "Tb", "Tb", "Tb", "Tb", "Dy", "Dy", "Dy", "Dy", "Dy", "Dy", "Dy", "Dy", "Dy"],
  "frac_coords": [[0.0541, 0.2538, 0.0000], [0.2538, 0.0541, 0.0000], [0.7462, 0.9459, 0.0000], [0.9459, 0.7462, 0.0000], [0.0931, 0.4557, 0.5000], [0.1374, 0.8626, 0.5000], [0.2163, 0.2163, 0.5000], [0.3411, 0.6589, 0.5000], [0.4557, 0.0931, 0.5000], [0.5000, 0.5000, 0.5000], [0.5443, 0.9069, 0.5000], [0.6589, 0.3411, 0.5000], [0.7837, 0.7837, 0.5000], [0.8626, 0.1374, 0.5000], [0.9069, 0.5443, 0.5000], [0.0000, 0.0000, 0.0000], [0.1359, 0.6617, 0.0000], [0.2894, 0.4354, 0.0000], [0.3383, 0.8641, 0.0000], [0.4354, 0.2894, 0.0000], [0.5646, 0.7106, 0.0000], [0.6617, 0.1359, 0.0000], [0.7106, 0.5646, 0.0000], [0.8641, 0.3383, 0.0000]]
}

---

(5)
{
  "formula": "La7Tb3Dy",
  "functional": "PBE-GGA",
  "state": "relaxed",
  "lattice_angstrom": [[-3.0118, 5.7194, 5.7908], [3.0118, -5.7194, 5.7908], [3.0118, 5.7194, -5.7908]],
  "species": ["La", "La", "La", "La", "La", "La", "La", "Tb", "Tb", "Tb", "Dy"],
  "frac_coords": [[0.0000, 0.0000, 0.0000], [0.0949, 0.7891, 0.3058], [0.2893, 0.5000, 0.7893], [0.4834, 0.7891, 0.6942], [0.5166, 0.2109, 0.3058], [0.7107, 0.5000, 0.2107], [0.9051, 0.2109, 0.6942], [0.2950, 0.2950, 0.0000], [0.5000, 0.0000, 0.5000], [0.7050, 0.7050, 0.0000], [0.0000, 0.5000, 0.5000]],
  "polymorph_energy_mev_per_atom": 146
}

---

(6)
{
  "formula": "La6Tb2Dy",
  "functional": "PBE-GGA",
  "state": "relaxed",
  "lattice_angstrom": [[4.7603, -8.9761, 0.0000], [4.7603, 8.9761, 0.0000], [0.0000, 0.0000, 3.7010]],
  "species": ["La", "La", "La", "La", "La", "La", "Tb", "Tb", "Dy"],
  "frac_coords": [[0.0063, 0.3375, 0.0000], [0.1786, 0.1786, 0.5000], [0.3375, 0.0063, 0.0000], [0.6625, 0.9937, 0.0000], [0.8214, 0.8214, 0.5000], [0.9937, 0.6625, 0.0000], [0.3276, 0.6724, 0.5000], [0.6724, 0.3276, 0.5000], [0.5000, 0.5000, 0.0000]]
}

---

Across the entries above, ΔE_f takes the values 0.267; 0.188; 0.021; 0.074; 0.212; 0.117 eV/atom, respectively.
Across the entries above, total DFT energy (no corrections) takes the values -48.505; -45.588; -46.329; -110.287; -50.652; -42.372 eV per formula unit, respectively.